# Pm2Ge2Pd5

A relaxed structure of Pm2Ge2Pd5 (PBE-GGA, OQMD).

Results
- total DFT energy (no corrections) (eV/atom) = -5.79
- mass density (g cm⁻³) = 9.5
- crystal system = tetragonal

a b c (Å): 4.2955 4.2955 9.1716
angles (deg): 90.00 90.00 90.00
Closest atoms and distances in Å follow each position.
Sites, in units of the cell vectors:
Pm (0.0000, 0.0000, 0.0000)  8 Ge 3.28, 8 Pd 3.31
Pd (0.5000, 0.5000, 0.5000)  8 Pd 2.98, 4 Pm 3.04
Pd (0.0000, 0.5000, 0.7256)  2 Ge 2.50
Pd (0.5000, 0.0000, 0.7256)  2 Ge 2.50
Pd (0.5000, 0.0000, 0.2744)  2 Ge 2.50
Pm (0.0000, 0.0000, 0.5000)  12 Pd 2.98-3.04
Ge (0.5000, 0.5000, 0.8645)  1 Ge 2.49, 4 Pd 2.50
Ge (0.5000, 0.5000, 0.1355)  1 Ge 2.49, 4 Pd 2.50
Pd (0.0000, 0.5000, 0.2744)  2 Ge 2.50

# ZrAlNi

A relaxed structure of ZrAlNi (PBE-GGA, OQMD).

Results
- total DFT energy (no corrections) (eV/atom) = -6.60
- mass density (g cm⁻³) = 6.1
- crystal system = hexagonal

a b c (Å): 6.6728 6.6728 3.7208
angles (deg): 90.00 90.00 120.00
Closest atoms and distances in Å follow each position.
Sites, in units of the cell vectors:
Zr (0.4140, 0.4140, 0.5000)  5 Ni 2.74-2.76, 6 Al 2.94-3.04
Ni (0.6667, 0.3333, 0.0000)  3 Al 2.57, 6 Zr 2.74
Ni (0.3333, 0.6667, 0.0000)  3 Al 2.57, 6 Zr 2.74
Ni (0.0000, 0.0000, 0.5000)  6 Al 2.48, 3 Zr 2.76
Zr (0.0000, 0.5860, 0.5000)  5 Ni 2.74-2.76, 6 Al 2.94-3.04
Al (0.2451, 0.0000, 0.0000)  4 Ni 2.48-2.57
Al (0.0000, 0.2451, 0.0000)  4 Ni 2.48-2.57
Al (0.7549, 0.7549, 0.0000)  4 Ni 2.48-2.57
Zr (0.5860, 0.0000, 0.5000)  5 Ni 2.74-2.76, 6 Al 2.94-3.04

# ZnGaNO

A relaxed structure of ZnGaNO (PBE-GGA, OQMD).

Results
- total DFT energy (no corrections) (eV/atom) = -5.28
- mass density (g cm⁻³) = 5.8
- crystal system = triclinic

a b c (Å): 6.4660 6.4656 10.4360
angles (deg): 89.89 90.02 119.84
Closest atoms and distances in Å follow each position.
Sites, in units of the cell vectors:
Ga (0.1773, 0.8381, 0.4965)  3 N 1.90-1.95, 1 O 1.94
Zn (0.8439, 0.6722, 0.7385)  1 N 1.93, 3 O 1.94-2.15
Ga (0.8359, 0.1752, 0.2593)  3 N 1.87-2.00, 1 O 2.01
N (0.8365, 0.1681, 0.4384)  1 Ga 1.87, 3 Zn 1.93-1.95
O (0.8407, 0.1787, 0.9421)  2 Ga 1.95-1.96, 2 Zn 2.06-2.15
Ga (0.3324, 0.1639, 0.2544)  4 N 1.90-2.00
Zn (0.6559, 0.8279, 0.0007)  1 N 1.99, 3 O 2.00-2.06
Ga (0.3240, 0.6648, 0.2554)  3 N 1.88-2.00, 1 O 2.01
Zn (0.8389, 0.6610, 0.2536)  2 O 2.00-2.09, 2 N 2.02
N (0.3242, 0.6620, 0.9337)  3 Ga 1.92-1.95, 1 Zn 1.99
O (0.8391, 0.6604, 0.9449)  2 Ga 1.94-1.97, 2 Zn 2.05-2.15
Zn (0.3278, 0.1561, 0.7352)  1 N 1.92, 2 O 1.93-1.96
Ga (0.1715, 0.8262, 0.0053)  2 N 1.88-1.93, 2 O 1.97-2.02
N (0.3280, 0.6681, 0.4352)  2 Ga 1.88-1.91, 2 Zn 1.96
Ga (0.1711, 0.3452, 0.0039)  2 N 1.90-1.92, 2 O 1.96-2.00
N (0.3279, 0.1580, 0.4361)  2 Ga 1.90, 2 Zn 1.96-1.97
N (0.1712, 0.8276, 0.6829)  2 Ga 1.87-1.95, 2 Zn 1.92-1.93
O (0.8450, 0.6726, 0.4455)  1 Ga 1.94, 3 Zn 2.00-2.03
N (0.1662, 0.3324, 0.1858)  4 Ga 1.90-2.00
O (0.1749, 0.3463, 0.6984)  1 Ga 1.89, 2 Zn 1.96
N (0.1747, 0.8392, 0.1848)  3 Ga 1.88-1.96, 1 Zn 2.02
Ga (0.3262, 0.6704, 0.7472)  2 N 1.87-1.95, 2 O 1.89-1.90
Zn (0.1693, 0.3340, 0.4910)  3 N 1.95-1.96, 1 O 2.17
O (0.3336, 0.1682, 0.9445)  3 Ga 1.99-2.02, 1 Zn 2.18
Zn (0.6605, 0.3228, 0.4952)  2 N 1.94-1.97, 2 O 2.03-2.11
Ga (0.6697, 0.3340, 0.0067)  1 N 1.87, 3 O 1.94-1.99
Zn (0.6611, 0.8379, 0.4907)  2 N 1.93-1.96, 1 O 2.01
Zn (0.8329, 0.1664, 0.7361)  4 O 1.93-2.15
O (0.6651, 0.3361, 0.6975)  4 Zn 1.93-2.11
O (0.6521, 0.8237, 0.6982)  1 Ga 1.90, 2 Zn 1.96-1.97
N (0.6604, 0.3233, 0.1861)  3 Ga 1.87-1.97, 1 Zn 2.02
O (0.6616, 0.8393, 0.1921)  2 Zn 2.00-2.09, 2 Ga 2.01

# TbNbCSe

A relaxed structure of TbNbCSe (PBE-GGA, OQMD).

Results
- total DFT energy (no corrections) (eV/atom) = -7.70
- mass density (g cm⁻³) = 8.2
- crystal system = trigonal

a b c (Å): 3.5541 3.5541 12.7510
angles (deg): 90.00 90.00 120.00
Closest atoms and distances in Å follow each position.
Sites, in units of the cell vectors:
Tb (0.6667, 0.3333, 0.6072)  3 C 2.47
Nb (0.3333, 0.6667, 0.0799)  3 C 2.29
Nb (0.6667, 0.3333, 0.9201)  3 C 2.29
Se (0.3333, 0.6667, 0.7759)  3 Nb 2.76, 3 Tb 2.97
C (0.0000, 0.0000, 0.5000)  6 Tb 2.47
C (0.0000, 0.0000, 0.0000)  6 Nb 2.29
Se (0.6667, 0.3333, 0.2241)  3 Nb 2.76, 3 Tb 2.97
Tb (0.3333, 0.6667, 0.3928)  3 C 2.47